Compound: FeTc2Os
Source: Alexandria
Functional: PBE
Structure: relaxed

Values from the calculation:
* DFT total energy: -9.998 eV per atom
* D(E_F): 4.2 states/eV/f.u.
* E_form: 109 meV/atom
* energy relative to the lowest polymorph listed for this composition: 31 meV/atom

a = 2.689 Å, b = 2.689 Å, c = 7.557 Å
α = 90.00°, β = 90.00°, γ = 90.00°
Atoms (fractional coordinates):
1 Fe 0.000 0.000 0.000
2 Tc 0.000 0.000 0.493
3 Tc 0.500 0.500 0.766
4 Os 0.500 0.500 0.238